[1]
Density functional theory data (GGA-PBE) for crystalline ScHgBMo2 at its relaxed geometry.

Results
The energy is -4.43 eV per atom. The space group is P4/mmm. Its size of the total moment is 2.1 μB per formula unit. Its mass density is 6.5 Mg/m³.

Cell and atoms, written as extended XYZ:
```
5
Lattice="-3.6143 2.8174 -0.8528 -2.9359 -4.1531 -1.2775 -1.3617 -0.4031 4.4397" Properties=species:S:1:pos:R:3 pbc="T T T"
Mo -0.6809 -0.2015 2.2199
Mo -1.8071 1.4087 -0.4264
Hg -1.4680 -2.0765 -0.6388
B -3.9560 -0.8694 1.1547
Sc 0.0000 0.0000 0.0000
```

[2]
Density functional theory data (GGA-PBE) for crystalline TbAg2Cl5 at its relaxed geometry.

Results
The space group is C2/c. Its size of the total moment is 0.0 μB per formula unit. The formation energy from raw total energies comes out at -1343 meV per atom. Its mass density is 4.1 Mg/m³.

Cell and atoms, written as extended XYZ:
```
16
Lattice="6.7689 0.0000 2.9189 2.4231 9.2482 3.6887 0.7945 0.2229 7.4655" Properties=species:S:1:pos:R:3 pbc="T T T"
Cl 1.8917 2.1778 1.5647
Tb 8.5857 7.3167 8.0137
Cl 4.4613 7.7198 4.9150
Cl 6.0868 3.2072 7.8555
Tb 7.7713 2.8041 9.9020
Cl 5.3311 3.8929 4.0618
Ag 4.4759 4.5864 9.4666
Cl 2.6478 1.4921 5.3580
Cl 5.6140 0.3248 2.9689
Ag 6.0068 5.5335 5.9179
Cl 8.5334 8.6285 10.3260
Cl 5.9413 6.9133 8.1943
Ag 4.2967 1.0209 7.4200
Cl 2.3651 5.0604 6.4513
Cl 1.8693 6.0048 2.7828
Ag 4.3954 9.0990 7.1924
```

[3]
Density functional theory data (GGA-PBE) for crystalline La3Dy2YS6 at its relaxed geometry.

Results
The space group is C2/m. Its size of the total moment is 0.0 μB per formula unit. The formation energy from raw total energies comes out at -2090 meV per atom. Its mass density is 6.1 Mg/m³.

Cell and atoms, written as extended XYZ:
```
12
Lattice="-6.6419 -1.8884 -0.6816 5.0117 -4.7976 -0.1024 0.0531 1.5830 6.8843" Properties=species:S:1:pos:R:3 pbc="T T T"
S 0.7537 -4.3249 4.8055
La -4.6762 -1.5810 2.8570
Y 0.0000 0.0000 0.0000
S -0.3789 -0.5024 5.1013
La 3.0991 -3.5221 3.2433
S 1.5613 -1.7498 1.4882
S -1.1982 -4.6006 0.9990
Dy -2.7569 -2.8583 -0.4885
La -0.7885 -2.5515 3.0502
Dy 1.1267 -3.8278 -0.2955
S -3.1384 -3.3533 4.6121
S -2.3308 -0.7782 1.2948
```

[4]
Density functional theory data (GGA-PBE) for crystalline CoCu2W at its relaxed geometry.

Results
The space group is Cmmm. Its size of the total moment is 0.8 μB per formula unit. The calculation puts the polymorph energy (0 for the lowest one) at 0.186 eV per atom. Its mass density is 11.9 Mg/m³.

Cell and atoms, written as extended XYZ:
```
4
Lattice="-0.0550 -2.3478 -4.1261 3.5505 -0.9082 3.0182 -1.4052 -1.8787 1.0877" Properties=species:S:1:pos:R:3 pbc="T T T"
W -0.7301 -2.1133 -1.5192
Co 1.0727 -1.3934 2.0530
Cu 0.0000 0.0000 0.0000
Cu 1.7478 -1.6280 -0.5540
```

[5]
Density functional theory data (GGA-PBE) for crystalline SrEuCuSn at its relaxed geometry.

Results
The energy is -5.35 eV per atom. The space group is F-43m. Its size of the total moment is 6.9 μB per formula unit. Its mass density is 6.0 Mg/m³.

Cell and atoms, written as extended XYZ:
```
4
Lattice="5.4840 0.0000 0.0000 2.7420 4.7493 0.0000 2.7420 1.5831 4.4777" Properties=species:S:1:pos:R:3 pbc="T T T"
Sr 0.0000 0.0000 0.0000
Sn 8.2260 4.7493 3.3582
Cu 2.7420 1.5831 1.1194
Eu 5.4840 3.1662 2.2388
```

[6]
Density functional theory data (GGA-PBE) for crystalline GaIr2 at its relaxed geometry.

Results
The energy is -7.15 eV per atom. The space group is P2/m. Its size of the total moment is 0.0 μB per formula unit. Its mass density is 17.4 Mg/m³.

Cell and atoms, written as extended XYZ:
```
6
Lattice="-4.2175 -1.7097 -1.0648 1.2037 -2.3815 -0.9440 0.4381 -2.2459 6.2245" Properties=species:S:1:pos:R:3 pbc="T T T"
Ir -2.3421 -3.9713 2.7887
Ga -2.9224 -1.9650 1.2309
Ir 0.0000 0.0000 0.0000
Ir -1.5069 -2.0456 -1.0044
Ga -0.8570 -1.9905 3.9289
Ir -0.2336 -2.3658 1.4270
```

[7]
Density functional theory data (GGA-PBE) for crystalline ZnNiBr2 at its relaxed geometry.

Results
The space group is Fm-3m. Its size of the total moment is 0.5 μB per formula unit. The formation energy from raw total energies comes out at 356 meV per atom. The calculation puts the polymorph energy (0 for the lowest one) at 0.629 eV per atom. Its mass density is 6.0 Mg/m³.

Cell and atoms, written as extended XYZ:
```
4
Lattice="0.0000 3.3989 3.3989 3.3989 0.0000 3.3989 3.3989 3.3989 0.0000" Properties=species:S:1:pos:R:3 pbc="T T T"
Br 1.6994 1.6994 1.6994
Br 5.0983 5.0983 5.0983
Zn 3.3989 3.3989 3.3989
Ni 0.0000 0.0000 0.0000
```

[8]
Density functional theory data (GGA-PBE) for crystalline SiGePb2F at its relaxed geometry.

Results
The space group is P4/mmm. Its size of the total moment is 0.0 μB per formula unit. The formation energy from raw total energies comes out at -22 meV per atom. The calculation puts the polymorph energy (0 for the lowest one) at 0.216 eV per atom. Its mass density is 7.4 Mg/m³.

Cell and atoms, written as extended XYZ:
```
5
Lattice="5.1425 0.0000 0.0000 0.0000 4.5482 0.0000 0.0000 0.0000 5.1425" Properties=species:S:1:pos:R:3 pbc="T T T"
F 0.0000 0.0000 0.0000
Ge 0.0000 2.2741 0.0000
Si 2.5713 2.2741 2.5713
Pb 2.5713 0.0000 0.0000
Pb 0.0000 0.0000 2.5713
```